Record 1
Material: NdYZnPd
Method: DFT, PBE
State: relaxed

## Properties
DFT total energy   -4.970 eV per atom
Energy relative to the lowest polymorph listed for this composition   0.11 eV/f.u.
Magnetic moment   0.0 Bohr magnetons per cell
Crystal system   cubic
Volume   93.75 Å³/cell
Calculated density   7.173 g cm⁻³
Formation energy   -0.545 eV per atom

Geometry as extended XYZ:
```
4
Lattice="0.000 3.606 3.606 3.606 0.000 3.606 3.606 3.606 0.000" Properties=species:S:1:pos:R:3 pbc="T T T"
Nd 0.000 0.000 0.000
Y 3.606 3.606 3.606
Zn 1.803 1.803 1.803
Pd 5.408 5.408 5.408
```

---

Record 2
Material: AlInFe
Method: DFT, PBE
State: relaxed

## Properties
DFT total energy   -5.016 eV per atom
Magnetic moment   3.7 Bohr magnetons per cell
Crystal system   monoclinic
Volume   107.57 Å³/cell
Calculated density   6.102 g cm⁻³
Formation energy   -0.035 eV per atom

Geometry as extended XYZ:
```
6
Lattice="2.968 0.000 0.000 0.000 2.995 0.000 -1.492 0.000 12.098" Properties=species:S:1:pos:R:3 pbc="T T T"
Al -0.005 0.000 4.020
Al 1.482 1.498 8.078
In -0.003 1.487 10.689
In 1.479 2.984 1.409
Fe -0.002 2.995 6.704
Fe 1.478 1.498 5.395
```

---

Record 3
Material: MnNiAsSe2
Method: DFT, PBE
State: relaxed

## Properties
DFT total energy   -4.682 eV per atom
E_form (uncorrected)   0.632 eV per atom
Energy relative to the lowest polymorph listed for this composition   0.00 eV/f.u.
Magnetic moment   1.5 Bohr magnetons per cell
Crystal system   tetragonal
Volume   103.65 Å³/cell
Calculated density   5.551 g cm⁻³

Geometry as extended XYZ:
```
5
Lattice="4.752 0.000 0.000 0.000 4.752 0.000 0.000 0.000 4.590" Properties=species:S:1:pos:R:3 pbc="T T T"
Mn 0.000 0.000 0.000
Ni 2.376 2.376 2.295
As 0.000 0.000 2.295
Se 0.000 2.376 0.000
Se 2.376 0.000 0.000
```